The following is a PBE-GGA calculation of crystalline MgCuSe2 at its relaxed geometry, from Alexandria via LeMat-Bulk.

Summary:
calculated density	4.276	Mg/m³
E_form (uncorrected)	-0.6091	eV/atom

Cell and atoms, written as extended XYZ:
```
4
Lattice="3.876 0.002 1.173 1.763 3.456 1.173 -0.030 -0.017 7.115" Properties=species:S:1:pos:R:3 pbc="T T T"
Cu 2.132 2.365 2.347
Mg 3.161 0.620 5.959
Se 1.442 1.941 4.646
Se 2.445 0.182 1.308
```

***

The following is a PBE-GGA calculation of crystalline MgCuSe at its relaxed geometry, from Alexandria via LeMat-Bulk.

Summary:
E above lowest polymorph	229	meV per atom
calculated density	5.167	Mg/m³
E_form (uncorrected)	-0.2862	eV/atom

Cell and atoms, written as extended XYZ:
```
12
Lattice="-2.176 -2.973 -0.602 3.473 -1.509 -5.099 5.435 -5.030 5.190" Properties=species:S:1:pos:R:3 pbc="T T T"
Mg 4.252 -6.926 1.466
Mg 5.427 -7.161 -1.619
Mg 2.479 -2.587 -1.978
Mg 1.304 -2.351 1.108
Cu 4.909 -4.703 -0.310
Cu 4.849 -5.499 3.841
Cu 1.823 -4.810 -0.201
Cu 1.883 -4.013 -4.352
Se 6.931 -6.396 0.744
Se -0.199 -3.116 -1.255
Se 3.550 -4.120 1.724
Se 3.181 -5.392 -2.235
```

***

The following is a PBE-GGA calculation of crystalline MgCuSe2 at its relaxed geometry, from Alexandria via LeMat-Bulk.

Summary:
calculated density	5.341	Mg/m³
E_form (uncorrected)	-0.5329	eV/atom

Cell and atoms, written as extended XYZ:
```
4
Lattice="3.783 0.022 0.020 1.872 3.288 0.020 1.858 1.087 6.176" Properties=species:S:1:pos:R:3 pbc="T T T"
Se 3.756 2.198 3.214
Se 1.859 1.088 6.070
Cu 5.635 3.298 4.661
Mg 1.878 1.099 1.554
```

***

The highest E_form (uncorrected) belongs to which entry? MgCuSe

***

E_form (uncorrected) of number 2 (MgCuSe)? -0.2862 eV/atom

***

Which value of E_form (uncorrected) does entry 3 give? -0.5329 eV/atom